1.
# Tl2Hg3Pb4

A relaxed structure of Tl2Hg3Pb4 (PBE-GGA, the Alexandria database).

Structure (extended XYZ):
```
18
Lattice="7.896 -5.677 0.000 7.896 5.677 0.000 -0.469 0.000 5.907" Properties=species:S:1:pos:R:3 pbc="T T T"
Tl 5.834 4.258 4.030
Tl 9.255 4.258 4.830
Tl 6.068 -4.258 1.077
Tl 9.489 -4.258 1.877
Hg 7.779 4.275 1.477
Hg 5.069 1.398 2.473
Hg 4.834 -1.398 5.427
Hg 10.489 1.398 0.480
Hg 10.254 -1.398 3.434
Hg 7.544 -4.275 4.430
Pb 3.166 1.476 5.007
Pb 6.517 1.426 5.816
Pb 3.400 -1.476 2.054
Pb 8.572 1.426 3.044
Pb 6.751 -1.426 2.863
Pb 11.923 1.476 3.853
Pb 8.806 -1.426 0.091
Pb 12.157 -1.476 0.900
```

Output
Energy relative to the lowest polymorph listed for this composition   0.0000 eV per atom
Magnetization   0.00 Bohr magnetons per cell
V   29.422 A^3/atom
SG   C2/c, No. 15

---

2.
# TbZr2Al9

A relaxed structure of TbZr2Al9 (PBE-GGA, the Alexandria database).

Structure (extended XYZ):
```
12
Lattice="2.690 1.553 8.765 -2.690 1.553 8.765 0.000 -3.106 8.765" Properties=species:S:1:pos:R:3 pbc="T T T"
Tb 0.000 0.000 0.000
Zr 0.000 0.000 3.788
Zr 0.000 0.000 22.506
Al -1.371 -0.791 11.043
Al 0.000 0.000 8.785
Al 0.000 -1.583 15.251
Al -1.371 0.791 15.251
Al 0.000 0.000 13.147
Al 1.371 -0.791 11.043
Al 0.000 1.583 11.043
Al 0.000 0.000 17.509
Al 1.371 0.791 15.251
```

Output
Energy   -4.952 eV/atom
Magnetization   0.00 Bohr magnetons per cell
V   18.302 A^3/atom
SG   R-3m, No. 166

---

3.
# Tb6Sm3YTm2

A relaxed structure of Tb6Sm3YTm2 (PBE-GGA, the Alexandria database).

Structure (extended XYZ):
```
12
Lattice="3.090 -5.350 0.000 3.090 5.350 0.000 -2.053 0.000 11.638" Properties=species:S:1:pos:R:3 pbc="T T T"
Tb -0.002 1.789 8.765
Tb 1.029 0.000 2.873
Tb -0.002 -1.789 8.765
Tb 4.130 1.789 2.873
Tb 3.099 0.000 8.765
Tb 4.130 -1.789 2.873
Sm -1.026 0.000 5.819
Sm 2.064 1.785 5.819
Sm 2.064 -1.785 5.819
Y 3.090 0.000 0.000
Tm 3.090 3.567 0.000
Tm 3.090 -3.567 0.000
```

Output
Energy   -4.761 eV/atom
Magnetization   0.00 Bohr magnetons per cell
V   32.070 A^3/atom
SG   C2/m, No. 12

---

| no. | density (g/cm3) |
| --- | --- |
| 1 | 11.53 |
| 2 | 4.42 |
| 3 | 7.90 |